Entry 1:
A plane-wave DFT calculation with PBE was carried out for crystalline Ag2HBr at its relaxed geometry.

```
Ag2HBr
1.0
5.555 0.000 0.000
0.000 5.555 0.000
0.000 0.000 9.644
Ag H Br
8 4 4
direct
0.115 0.250 0.125
0.250 0.615 0.375
0.250 0.885 0.875
0.385 0.250 0.625
0.615 0.750 0.625
0.750 0.115 0.875
0.750 0.385 0.375
0.885 0.750 0.125
0.000 0.000 0.000
0.000 0.500 0.250
0.500 0.000 0.750
0.500 0.500 0.500
0.000 0.000 0.500
0.000 0.500 0.750
0.500 0.000 0.250
0.500 0.500 0.000
```

Computed properties:
The value obtained for the energy above the most stable polymorph in this dataset is 0.000 eV per formula unit. As for the total magnetization: 0.000 μB per atom. The space-group type is I-42d (122). As for the density of states at the Fermi level: 0.0 states/eV/cell.

Entry 2:
A plane-wave DFT calculation with PBE was carried out for crystalline Hf2CoGe at its relaxed geometry.

```
Hf2CoGe
1.0
3.358 0.000 0.000
-1.679 2.908 0.000
0.000 0.000 22.781
Hf Co Ge
6 3 3
direct
0.000 0.000 0.238
0.000 0.000 0.762
0.333 0.667 0.428
0.333 0.667 0.905
0.667 0.333 0.095
0.667 0.333 0.572
0.000 0.000 0.500
0.333 0.667 0.167
0.667 0.333 0.833
0.000 0.000 0.000
0.333 0.667 0.667
0.667 0.333 0.333
```

Computed properties:
As for the total magnetization: 0.000 μB per atom. The space-group type is R-3m (166). As for the density of states at the Fermi level: 9.8 states/eV/cell. As for the total DFT energy (no corrections): -97.19 eV per cell.

Entry 3:
A plane-wave DFT calculation with PBE was carried out for crystalline Nd9Tm2Th at its relaxed geometry.

```
Nd9Tm2Th
1.0
5.149 0.000 0.000
0.000 5.149 0.000
0.000 0.000 15.443
Nd Tm Th
9 2 1
direct
0.000 0.000 0.000
0.000 0.000 0.336
0.000 0.000 0.664
0.000 0.500 0.165
0.000 0.500 0.500
0.000 0.500 0.835
0.500 0.000 0.165
0.500 0.000 0.500
0.500 0.000 0.835
0.500 0.500 0.334
0.500 0.500 0.666
0.500 0.500 0.000
```

Computed properties:
As for the total magnetization: 0.000 μB per atom. The space-group type is P4/mmm (123). As for the density of states at the Fermi level: 20.3 states/eV/cell. As for the total DFT energy (no corrections): -58.87 eV per cell.

Entry 4:
A plane-wave DFT calculation with PBE was carried out for crystalline NpIn2Pb at its relaxed geometry.

```
NpIn2Pb
1.0
4.625 0.000 0.000
0.000 4.625 0.000
0.000 0.000 4.867
Np In Pb
1 2 1
direct
0.000 0.000 0.000
0.000 0.500 0.500
0.500 0.000 0.500
0.500 0.500 0.000
```

Computed properties:
The value obtained for the energy above the most stable polymorph in this dataset is 0.000 eV per formula unit. As for the total magnetization: 1.077 μB per atom. The space-group type is P4/mmm (123). As for the density of states at the Fermi level: 11.8 states/eV/cell.